CaGe4Pd8 | PBE | relaxed

abc: 6.834 6.834 6.834
angles: 99.16 99.16 132.97
Atoms (fractional coordinates):
1 Ca 0.000 0.000 0.000
2 Ge 0.000 0.000 0.500
3 Ge 0.000 0.500 0.000
4 Ge 0.500 0.000 0.000
5 Ge 0.500 0.500 0.500
6 Pd 0.000 0.332 0.332
7 Pd 0.000 0.668 0.668
8 Pd 0.275 0.500 0.775
9 Pd 0.332 0.000 0.332
10 Pd 0.500 0.275 0.775
11 Pd 0.500 0.725 0.225
12 Pd 0.668 0.000 0.668
13 Pd 0.725 0.500 0.225

Output
total magnetic moment: 0.00 μB per atom
energy of formation from the pure elements: -6.11 eV per formula unit
space-group type: I4/mmm